In2RuCl after structural relaxation, computed with PBE-GGA.

Cell lengths 4.332, 4.332, 8.498 Å; angles 90.00, 90.00, 90.00 degrees
Space group I4/mmm (No. 139)
Unique sites:
In: 0.000 0.500 0.250 (multiplicity 4)
Ru: 0.000 0.000 0.000 (multiplicity 2)
Cl: 0.000 0.000 0.500 (multiplicity 2)

Values from the calculation:
The total moment is 0.08 μB/atom. The calculation puts the density of states at the Fermi level at 6.28 states/eV per cell. The uncorrected formation energy is 0.4193 eV per atom. Its raw total energy is -3.73 eV per atom. The polymorph energy (0 for the lowest one) is 0.710 eV per atom.